Below is a geometry-optimized NaNiSnSe3 structure, with properties calculated at the GGA-PBE level.

Values from the calculation:
* E_form (uncorrected): -505 meV/atom
* electronic total energy: -0.301 Ry/atom
* Fermi-level density of states: 3.6 states/eV/f.u.
* total moment: 0.03 μB per atom

a = 8.4626 Å, b = 4.0573 Å, c = 8.7792 Å
α = 90.00°, β = 100.71°, γ = 90.00°
Space group P2_1/m (No. 11)
Asymmetric unit:
Na  0.1713  0.2500  0.2243 x2
Ni  0.0745  0.2500  0.5688 x2
Sn  0.3359  0.7500  0.8548 x2
Se  0.1059  0.2500  0.8484 x2
Se  0.2047  0.7500  0.5334 x2
Se  0.4287  0.7500  0.1705 x2